This record from Alexandria via LeMat-Bulk describes a geometry-optimized Li6V3P8O29 structure. The functional is PBE+U.

Lattice parameters (Å, degrees): 9.8087 9.8087 14.0957 89.13 89.13 60.38
Atoms (fractional coordinates):
1 Li 0.1690 0.8082 0.6987
2 Li 0.6896 0.2201 0.1947
3 Li 0.3287 0.3404 0.8589
4 Li 0.6892 0.0798 0.6882
5 Li 0.0926 0.2205 0.6880
6 Li 0.7795 0.9074 0.3120
7 Li 0.2301 0.0955 0.1835
8 Li 0.9045 0.7699 0.8165
9 Li 0.6596 0.6713 0.1411
10 Li 0.1918 0.8310 0.3013
11 Li 0.9202 0.3108 0.3118
12 Li 0.7799 0.3104 0.8053
13 V 0.5721 0.9926 0.5016
14 V 0.4308 0.9968 0.9941
15 V 0.0032 0.5692 0.0059
16 V 0.0074 0.4279 0.4984
17 V 0.4406 0.5594 0.5000
18 V 0.5619 0.4381 0.0000
19 P 0.2300 0.6853 0.9076
20 P 0.0900 0.6896 0.4170
21 P 0.6889 0.2246 0.4096
22 P 0.3411 0.3243 0.6194
23 P 0.3333 0.3264 0.1212
24 P 0.6765 0.0940 0.9088
25 P 0.7633 0.9115 0.0932
26 P 0.0885 0.2367 0.9068
27 P 0.9149 0.7595 0.5996
28 P 0.2405 0.0851 0.4004
29 P 0.3104 0.9100 0.5830
30 P 0.6757 0.6589 0.3806
31 P 0.6736 0.6667 0.8788
32 P 0.3147 0.7700 0.0924
33 P 0.9060 0.3235 0.0912
34 P 0.7754 0.3111 0.5904
35 O 0.2349 0.7564 0.1788
36 O 0.2575 0.6629 0.4120
37 O 0.9909 0.7629 0.6910
38 O 0.0803 0.6698 0.9108
39 O 0.3739 0.5163 0.9232
40 O 0.3397 0.4728 0.5750
41 O 0.5306 0.3730 0.4218
42 O 0.7737 0.2251 0.6798
43 O 0.6669 0.2560 0.9063
44 O 0.1830 0.4739 0.0784
45 O 0.0893 0.5318 0.4248
46 O 0.4802 0.3351 0.0790
47 O 0.3411 0.3251 0.7262
48 O 0.3348 0.3181 0.2262
49 O 0.4970 0.1775 0.5834
50 O 0.1097 0.3818 0.9215
51 O 0.1961 0.3170 0.5811
52 O 0.6713 0.0753 0.4130
53 O 0.7745 0.0096 0.0026
54 O 0.7494 0.0015 0.1817
55 O 0.7584 0.9981 0.8226
56 O 0.5079 0.1195 0.9212
57 O 0.3346 0.1788 0.0772
58 O 0.7495 0.9075 0.5920
59 O 0.3903 0.0914 0.4192
60 O 0.0925 0.2505 0.4080
61 O 0.0174 0.7793 0.5159
62 O 0.9981 0.7952 0.3365
63 O 0.0019 0.2416 0.1774
64 O 0.9118 0.7513 0.0894
65 O 0.6182 0.8903 0.0785
66 O 0.2487 0.0882 0.9106
67 O 0.6830 0.8039 0.4189
68 O 0.4682 0.9107 0.5752
69 O 0.2048 0.0019 0.6635
70 O 0.2371 0.0091 0.3090
71 O 0.2207 0.9826 0.4841
72 O 0.3302 0.9197 0.0892
73 O 0.8212 0.6654 0.9228
74 O 0.9086 0.6097 0.5808
75 O 0.5261 0.8170 0.9216
76 O 0.6819 0.6652 0.7738
77 O 0.6749 0.6589 0.2738
78 O 0.5272 0.6603 0.4250
79 O 0.8805 0.4921 0.0788
80 O 0.8225 0.5030 0.4166
81 O 0.3371 0.7425 0.5880
82 O 0.2152 0.7848 0.0000
83 O 0.2436 0.7651 0.8212
84 O 0.4837 0.6261 0.0768
85 O 0.6649 0.5198 0.9210
86 O 0.6270 0.4694 0.5782
87 O 0.9247 0.3287 0.5870
88 O 0.9985 0.2506 0.8183
89 O 0.9904 0.2255 0.9974
90 O 0.7440 0.3331 0.0937
91 O 0.7749 0.2263 0.3202
92 O 0.7980 0.2020 0.5000

Properties
Distance to the lowest polymorph of the same formula   0.4 kJ/mol of atoms